# LiSmPb PBE optimized geometry
# ρ, g/cm³: 7.9
# Energy, eV per cell: -23.6
# ΔH_f (0 K), meV/atom: -493
# Volume, Å³ per cell: 153.4
data_LiSmPb
_cell_length_a 4.572
_cell_length_b 4.572
_cell_length_c 7.336
_cell_angle_alpha 90.00
_cell_angle_beta 90.00
_cell_angle_gamma 90.00
_space_group_name_H-M_alt 'P 4/n m m'
_space_group_IT_number 129
loop_
_space_group_symop_operation_xyz
'x,y,z'
'-x,-y,-z'
'-y+1/2,x,z'
'y+1/2,-x,-z'
'-x+1/2,-y+1/2,z'
'x+1/2,y+1/2,-z'
'y,-x+1/2,z'
'-y,x+1/2,-z'
'x+1/2,-y,-z'
'-x+1/2,y,z'
'-y,-x,-z'
'y,x,z'
'-x,y+1/2,-z'
'x,-y+1/2,z'
'y+1/2,x+1/2,-z'
'-y+1/2,-x+1/2,z'
loop_
_atom_site_label
_atom_site_type_symbol
_atom_site_fract_x
_atom_site_fract_y
_atom_site_fract_z
Li1 Li 0.250 0.750 0.000
Sm1 Sm 0.250 0.250 0.321
Pb1 Pb 0.250 0.250 0.763